# 1
MnAlNi2Pd PBE optimized geometry; total energy = -5.0258 eV per atom; space group = P4/mmm
1.0
4.637 0.000 0.000
0.000 4.458 0.000
0.000 0.000 4.637
Al Pd Ni Mn
1 1 2 1
direct
0.000 0.500 0.000
0.000 0.000 0.000
0.000 0.000 0.500
0.500 0.000 0.000
0.500 0.500 0.500

=====

# 2
Pm2Mn2AlNi5 PBE optimized geometry; total energy = -6.1792 eV per atom; space group = P4/mbm
1.0
3.600 0.000 0.000
0.000 9.339 0.000
0.000 0.000 9.339
Ni Mn Al Pm
10 4 2 4
direct
0.500 0.054 0.797
0.500 0.554 0.703
0.500 0.500 0.000
0.500 0.797 0.946
0.500 0.203 0.054
0.500 0.000 0.500
0.500 0.446 0.297
0.500 0.703 0.446
0.500 0.297 0.554
0.500 0.946 0.203
0.000 0.619 0.881
0.000 0.119 0.619
0.000 0.381 0.119
0.000 0.881 0.381
0.000 0.000 0.000
0.000 0.500 0.500
0.000 0.318 0.818
0.000 0.818 0.682
0.000 0.182 0.318
0.000 0.682 0.182

=====

# 3
Pr2Mn2AlNi5 PBE optimized geometry; total energy = -6.1381 eV per atom; space group = P4/mbm
1.0
-1.373 -3.011 -1.343
-1.820 -3.088 8.781
-8.564 4.060 -0.347
Ni Mn Pr Al
10 4 4 2
direct
0.500 0.299 0.552
0.500 0.799 0.948
0.500 0.201 0.052
0.500 0.052 0.799
0.500 0.701 0.448
0.500 0.552 0.701
0.500 0.000 0.500
0.500 0.448 0.299
0.500 0.948 0.201
0.500 0.500 0.000
0.000 0.881 0.381
0.000 0.119 0.619
0.000 0.619 0.881
0.000 0.381 0.119
0.000 0.818 0.682
0.000 0.318 0.818
0.000 0.682 0.182
0.000 0.182 0.318
0.000 0.500 0.500
0.000 0.000 0.000

=====

# 4
MnAlNi2Pt PBE optimized geometry; total energy = -5.2835 eV per atom; space group = P4/mmm
1.0
4.148 0.000 0.000
0.000 4.416 0.000
0.000 0.000 4.148
Mn Al Pt Ni
1 1 1 2
direct
0.000 0.000 0.000
0.000 0.500 0.000
0.500 0.500 0.500
0.000 0.000 0.500
0.500 0.000 0.000

=====

# 5
MnAlNiPt PBE optimized geometry; total energy = -6.7660 eV per atom; space group = I-4m2
1.0
3.907 0.000 0.000
0.000 3.907 -0.001
-1.953 -1.954 3.537
Ni Pt Al Mn
1 1 1 1
direct
0.000 0.000 0.000
0.500 0.500 0.000
0.750 0.250 0.500
0.250 0.750 0.500

=====

# 6
Mn2Al2NiPt5 PBE optimized geometry; total energy = -6.6077 eV per atom; space group = P4/mbm
1.0
-1.868 -0.180 3.178
7.539 -2.927 4.265
2.312 8.651 1.849
Pt Mn Al Ni
10 4 4 2
direct
0.500 0.076 0.803
0.500 0.197 0.076
0.500 0.303 0.576
0.500 0.697 0.424
0.500 0.424 0.303
0.500 0.924 0.197
0.500 0.000 0.500
0.500 0.576 0.697
0.500 0.803 0.924
0.500 0.500 0.000
0.000 0.829 0.671
0.000 0.171 0.329
0.000 0.329 0.829
0.000 0.671 0.171
0.000 0.630 0.870
0.000 0.370 0.130
0.000 0.130 0.630
0.000 0.870 0.370
0.000 0.500 0.500
0.000 0.000 0.000

=====

# 7
PuMnAlNi PBE optimized geometry; total energy = -8.4287 eV per atom; space group = F-43m
1.0
-1.207 -4.108 1.290
3.101 -2.913 1.375
0.232 -1.147 4.316
Ni Al Pu Mn
1 1 1 1
direct
0.250 0.250 0.250
0.500 0.500 0.500
0.000 0.000 0.000
0.750 0.750 0.750

=====

# 8
ScMnAlNi2 PBE optimized geometry; total energy = -4.6783 eV per atom; space group = P4/mmm
1.0
-1.425 2.606 -3.069
-3.670 -3.233 -1.041
-2.527 1.955 2.834
Sc Ni Mn Al
1 2 1 1
direct
0.000 0.000 0.000
0.500 0.000 0.000
0.000 0.000 0.500
0.500 0.500 0.500
0.000 0.500 0.000